# PBE BaNp2NiN4, relaxed
data_BaNp2NiN4
_chemical_formula_sum 'Ba2 Np4 Ni2 N8'
_symmetry_space_group_name_H-M 'P 1'
_symmetry_Int_Tables_number 1
_cell_length_a 3.529
_cell_length_b 6.121
_cell_length_c 11.493
_cell_angle_alpha 90.00
_cell_angle_beta 90.00
_cell_angle_gamma 106.76
loop_
_symmetry_equiv_pos_as_xyz
'x,y,z'
loop_
_atom_site_label
_atom_site_type_symbol
_atom_site_fract_x
_atom_site_fract_y
_atom_site_fract_z
Ba1 Ba 0.098 0.197 0.750
Ba2 Ba 0.902 0.803 0.250
Np1 Np 0.368 0.736 0.557
Np2 Np 0.632 0.264 0.057
Np3 Np 0.632 0.264 0.443
Np4 Np 0.368 0.736 0.943
Ni1 Ni 0.828 0.657 0.750
Ni2 Ni 0.172 0.343 0.250
N1 N 0.250 0.501 0.097
N2 N 0.750 0.499 0.597
N3 N 0.750 0.499 0.903
N4 N 0.250 0.501 0.403
N5 N 0.000 0.000 0.500
N6 N 0.000 0.000 0.000
N7 N 0.411 0.822 0.750
N8 N 0.589 0.178 0.250
# DOS at the Fermi energy = 1.3879 states/eV/atom
# Energy relative to the elements, uncorrected = -87.48 kJ per mole of atoms
# Space group = No. 63